Arrangement A

# Tm4Ga2Ag, relaxed, DFT PBE
# Theoretical density (Mg/m³): 8.87
# Total magnetic moment (μB per atom): 0.0000
# Symmetry: R-3m (166)
data_Tm4Ga2Ag
_cell_length_a 4.976
_cell_length_b 4.976
_cell_length_c 8.558
_cell_angle_alpha 73.10
_cell_angle_beta 73.10
_cell_angle_gamma 60.00
_space_group_name_H-M_alt 'P 1'
_space_group_IT_number 1
loop_
_space_group_symop_operation_xyz
'x,y,z'
loop_
_atom_site_label
_atom_site_fract_x
_atom_site_fract_y
_atom_site_fract_z
Tm1 0.379 0.379 0.862
Tm2 0.872 0.872 0.385
Tm3 0.621 0.621 0.138
Tm4 0.128 0.128 0.615
Ga1 0.751 0.751 0.748
Ga2 0.249 0.249 0.252
Ag1 0.000 0.000 0.000

---

Arrangement B

# Tm4Ga2Ag, relaxed, DFT PBE
# Theoretical density (Mg/m³): 8.39
# Total magnetic moment (μB per atom): 0.0001
# Symmetry: R-3m (166)
data_Tm4Ga2Ag
_cell_length_a 4.846
_cell_length_b 4.846
_cell_length_c 9.411
_cell_angle_alpha 75.08
_cell_angle_beta 75.08
_cell_angle_gamma 60.00
_space_group_name_H-M_alt 'P 1'
_space_group_IT_number 1
loop_
_space_group_symop_operation_xyz
'x,y,z'
loop_
_atom_site_label
_atom_site_fract_x
_atom_site_fract_y
_atom_site_fract_z
Tm1 0.380 0.380 0.859
Tm2 0.620 0.620 0.141
Tm3 0.204 0.204 0.387
Tm4 0.796 0.796 0.613
Ga1 0.904 0.904 0.289
Ga2 0.096 0.096 0.711
Ag1 0.000 0.000 0.000

---

Going by the computed energies, the most stable comes first: arrangement A, arrangement B.

---

Arrangement A

# TmGa2Ag4, relaxed, DFT PBE
# Theoretical density (Mg/m³): 9.15
# Total magnetic moment (μB per atom): 0.0000
# Symmetry: Cmmm (65)
data_TmGa2Ag4
_cell_length_a 4.309
_cell_length_b 4.089
_cell_length_c 7.893
_cell_angle_alpha 105.01
_cell_angle_beta 90.00
_cell_angle_gamma 90.00
_space_group_name_H-M_alt 'P 1'
_space_group_IT_number 1
loop_
_space_group_symop_operation_xyz
'x,y,z'
loop_
_atom_site_label
_atom_site_fract_x
_atom_site_fract_y
_atom_site_fract_z
Ag1 0.500 0.184 0.367
Ag2 0.000 0.679 0.358
Ag3 0.000 0.321 0.642
Ag4 0.500 0.816 0.633
Ga1 0.500 0.421 0.842
Ga2 0.500 0.579 0.158
Tm1 0.000 0.000 0.000

---

Arrangement B

# TmGa2Ag4, relaxed, DFT PBE
# Theoretical density (Mg/m³): 9.15
# Total magnetic moment (μB per atom): 0.0000
# Symmetry: P4_2/mnm (136)
data_TmGa2Ag4
_cell_length_a 4.253
_cell_length_b 7.944
_cell_length_c 7.944
_cell_angle_alpha 90.00
_cell_angle_beta 90.00
_cell_angle_gamma 90.00
_space_group_name_H-M_alt 'P 1'
_space_group_IT_number 1
loop_
_space_group_symop_operation_xyz
'x,y,z'
loop_
_atom_site_label
_atom_site_fract_x
_atom_site_fract_y
_atom_site_fract_z
Tm1 0.500 0.000 0.000
Tm2 0.000 0.500 0.500
Ga1 0.500 0.299 0.299
Ga2 0.000 0.799 0.201
Ga3 0.000 0.201 0.799
Ga4 0.500 0.701 0.701
Ag1 0.000 0.346 0.097
Ag2 0.500 0.403 0.846
Ag3 0.500 0.846 0.403
Ag4 0.000 0.097 0.346
Ag5 0.000 0.903 0.654
Ag6 0.500 0.597 0.154
Ag7 0.500 0.154 0.597
Ag8 0.000 0.654 0.903

---

Going by the computed energies, the most stable comes first: arrangement A, arrangement B.

---

Arrangement A

# Tm2Ga2Ag3, relaxed, DFT PBE
# Theoretical density (Mg/m³): 8.98
# Total magnetic moment (μB per atom): 0.0000
# Symmetry: Cmcm (63)
data_Tm2Ga2Ag3
_cell_length_a 3.958
_cell_length_b 7.491
_cell_length_c 10.186
_cell_angle_alpha 90.00
_cell_angle_beta 101.20
_cell_angle_gamma 90.00
_space_group_name_H-M_alt 'P 1'
_space_group_IT_number 1
loop_
_space_group_symop_operation_xyz
'x,y,z'
loop_
_atom_site_label
_atom_site_fract_x
_atom_site_fract_y
_atom_site_fract_z
Ag1 0.439 0.567 0.877
Ag2 0.561 0.433 0.123
Ag3 0.772 0.250 0.544
Ag4 0.439 0.933 0.877
Ag5 0.561 0.067 0.123
Ag6 0.228 0.750 0.456
Ga1 0.315 0.447 0.631
Ga2 0.685 0.947 0.369
Ga3 0.315 0.053 0.631
Ga4 0.685 0.553 0.369
Tm1 0.844 0.750 0.689
Tm2 0.943 0.250 0.887
Tm3 0.057 0.750 0.113
Tm4 0.156 0.250 0.311

---

Arrangement B

# Tm2Ga2Ag3, relaxed, DFT PBE
# Theoretical density (Mg/m³): 9.36
# Total magnetic moment (μB per atom): 0.0000
# Symmetry: Cmmm (65)
data_Tm2Ga2Ag3
_cell_length_a 3.483
_cell_length_b 4.176
_cell_length_c 9.990
_cell_angle_alpha 102.06
_cell_angle_beta 90.00
_cell_angle_gamma 90.00
_space_group_name_H-M_alt 'P 1'
_space_group_IT_number 1
loop_
_space_group_symop_operation_xyz
'x,y,z'
loop_
_atom_site_label
_atom_site_fract_x
_atom_site_fract_y
_atom_site_fract_z
Tm1 0.000 0.156 0.312
Tm2 0.000 0.844 0.688
Ag1 0.500 0.429 0.858
Ag2 0.500 0.571 0.142
Ag3 0.000 0.000 0.000
Ga1 0.500 0.713 0.427
Ga2 0.500 0.287 0.573

---

Going by the computed energies, the most stable comes first: arrangement B, arrangement A.